Record 1
A plane-wave DFT calculation with PBE was carried out for Ba2HgBi after structural relaxation.

```
Ba2HgBi
1.0
-4.645 4.645 4.246
4.645 -4.645 4.246
4.645 4.645 -4.246
Ba Hg Bi
4 2 2
Cartesian
6.968 2.306 -1.062
2.306 2.323 1.062
-2.323 2.340 3.185
2.340 2.323 5.308
4.645 0.000 2.123
0.000 0.000 4.246
0.000 0.000 0.000
0.000 4.645 2.123
```

Computed properties:
The value obtained for the total DFT energy (no corrections) is -2.4992 eV/atom. Its symmetry is I-42d. For the volume, the calculation gives 183.25 Å³/f.u. The calculation puts the density of states at the Fermi level at 8.0 states/eV per cell.

=====

Record 2
A plane-wave DFT calculation with PBE was carried out for Pm3NdF after structural relaxation.

```
Pm3NdF
1.0
5.183 0.000 0.000
0.000 5.183 0.000
0.000 0.000 5.183
Pm Nd F
3 1 1
Cartesian
0.000 0.000 2.592
0.000 2.592 0.000
2.592 0.000 0.000
2.592 2.592 2.592
0.000 0.000 0.000
```

Computed properties:
The value obtained for the total DFT energy (no corrections) is -5.1512 eV/atom. Its symmetry is Pm-3m. For the volume, the calculation gives 139.27 Å³/f.u. The calculation puts the density of states at the Fermi level at 4.7 states/eV per cell. The formation energy without anion corrections is -0.9730 eV per atom.

=====

Record 3
A plane-wave DFT calculation with PBE was carried out for BPIr2 after structural relaxation.

```
BPIr2
1.0
0.000 2.886 2.886
2.886 0.000 2.886
2.886 2.886 0.000
B P Ir
1 1 2
Cartesian
0.000 0.000 0.000
2.886 2.886 2.886
1.443 1.443 1.443
4.329 4.329 4.329
```

Computed properties:
The value obtained for the total DFT energy (no corrections) is -7.1020 eV/atom. Its symmetry is Fm-3m. For the volume, the calculation gives 48.08 Å³/f.u. The calculation puts the density of states at the Fermi level at 5.9 states/eV per cell.

=====

Record 4
A plane-wave DFT calculation with PBE was carried out for CaEr4Mg5 after structural relaxation.

```
CaEr4Mg5
1.0
3.795 0.000 0.000
0.000 3.795 0.000
0.000 0.000 19.126
Ca Er Mg
1 4 5
Cartesian
0.000 0.000 0.000
0.000 0.000 4.021
0.000 0.000 7.706
0.000 0.000 11.420
0.000 0.000 15.105
1.897 1.897 2.124
1.897 1.897 5.852
1.897 1.897 9.563
1.897 1.897 13.274
1.897 1.897 17.002
```

Computed properties:
The value obtained for the total DFT energy (no corrections) is -2.8923 eV/atom. Its symmetry is P4/mmm. For the volume, the calculation gives 275.40 Å³/f.u. The calculation puts the density of states at the Fermi level at 11.2 states/eV per cell.

=====

Record 5
A plane-wave DFT calculation with PBE was carried out for FeMo2As after structural relaxation.

```
FeMo2As
1.0
-1.559 2.126 4.286
1.559 -2.126 4.286
1.559 2.126 -4.286
Fe Mo As
1 2 1
Cartesian
0.000 0.000 0.000
1.559 0.000 2.200
0.000 0.000 4.539
0.000 2.126 2.435
```

Computed properties:
The value obtained for the total DFT energy (no corrections) is -8.6510 eV/atom. Its symmetry is Imm2. For the volume, the calculation gives 56.81 Å³/f.u. The calculation puts the density of states at the Fermi level at 3.1 states/eV per cell.

=====

Record 6
A plane-wave DFT calculation with PBE was carried out for Na2ThTl2Se4 after structural relaxation.

```
Na2ThTl2Se4
1.0
8.746 -2.227 0.000
8.746 2.227 0.000
-3.633 0.000 7.135
Na Th Tl Se
2 1 2 4
Cartesian
1.449 0.000 2.925
12.410 0.000 4.210
8.746 0.000 0.000
5.161 0.000 1.566
8.697 0.000 5.569
-2.572 0.000 5.525
2.532 0.000 5.683
11.327 0.000 1.452
16.430 0.000 1.610
```

Computed properties:
The value obtained for the total DFT energy (no corrections) is -4.2350 eV/atom. Its symmetry is C2/m. For the volume, the calculation gives 277.99 Å³/f.u. The calculation puts the density of states at the Fermi level at 0.0 states/eV per cell. The formation energy without anion corrections is -1.0430 eV per atom.